(1)
The following is a PBE calculation of a relaxed TiVFe crystal, from Alexandria.

POSCAR file:
```
TiVFe
1.0
-1.385 2.286 3.303
1.385 -2.286 3.303
1.385 2.286 -3.303
Ti V Fe
1 1 1
direct
0.000 0.000 0.000
0.658 0.158 0.500
0.372 0.372 0.000
```

Properties
- DOS at the Fermi energy (states/eV per atom) = 1.053
- E_form (meV/atom) = 246

***

(2)
The following is a PBE calculation of a relaxed TiVFe crystal, from Alexandria.

POSCAR file:
```
TiVFe
1.0
4.076 0.000 0.000
-2.038 3.530 0.000
0.000 0.000 2.737
Ti V Fe
1 1 1
direct
0.000 0.000 0.000
0.667 0.333 0.375
0.333 0.667 0.670
```

Properties
- DOS at the Fermi energy (states/eV per atom) = 1.017
- E_form (meV/atom) = -87

***

(3)
The following is a PBE calculation of a relaxed Ti3VFe crystal, from Alexandria.

POSCAR file:
```
Ti3VFe
1.0
4.469 0.000 0.000
0.000 4.469 0.000
0.000 0.000 4.469
Ti V Fe
3 1 1
direct
0.000 0.000 0.500
0.000 0.500 0.000
0.500 0.000 0.000
0.500 0.500 0.500
0.000 0.000 0.000
```

Properties
- DOS at the Fermi energy (states/eV per atom) = 1.347
- E_form (meV/atom) = 475

***

(4)
The following is a PBE calculation of a relaxed TiV4Fe5 crystal, from Alexandria.

POSCAR file:
```
TiV4Fe5
1.0
2.889 0.000 0.000
0.000 2.889 0.000
0.000 0.000 14.508
Ti V Fe
1 4 5
direct
0.000 0.000 0.000
0.000 0.000 0.202
0.000 0.000 0.401
0.000 0.000 0.599
0.000 0.000 0.798
0.500 0.500 0.106
0.500 0.500 0.303
0.500 0.500 0.500
0.500 0.500 0.697
0.500 0.500 0.894
```

Properties
- DOS at the Fermi energy (states/eV per atom) = 1.077
- E_form (meV/atom) = -176

***

(5)
The following is a PBE calculation of a relaxed Ti4VFe5 crystal, from Alexandria.

POSCAR file:
```
Ti4VFe5
1.0
2.938 0.000 0.000
0.000 2.938 0.000
0.000 0.000 14.664
Ti V Fe
4 1 5
direct
0.000 0.000 0.101
0.000 0.000 0.303
0.000 0.000 0.697
0.000 0.000 0.899
0.000 0.000 0.500
0.500 0.500 0.000
0.500 0.500 0.202
0.500 0.500 0.405
0.500 0.500 0.595
0.500 0.500 0.798
```

Properties
- DOS at the Fermi energy (states/eV per atom) = 0.531
- E_form (meV/atom) = -348

***

(6)
The following is a PBE calculation of a relaxed Ti2V2Fe crystal, from Alexandria.

POSCAR file:
```
Ti2V2Fe
1.0
-1.508 1.508 7.625
1.508 -1.508 7.625
1.508 1.508 -7.625
Ti V Fe
2 2 1
direct
0.096 0.096 0.000
0.904 0.904 0.000
0.293 0.293 0.000
0.707 0.707 0.000
0.500 0.500 0.000
```

Properties
- DOS at the Fermi energy (states/eV per atom) = 1.173
- E_form (meV/atom) = -142

***

(7)
The following is a PBE calculation of a relaxed TiVFe4 crystal, from Alexandria.

POSCAR file:
```
TiVFe4
1.0
0.000 3.340 3.340
3.340 0.000 3.340
3.340 3.340 0.000
Ti V Fe
1 1 4
direct
0.000 0.000 0.000
0.750 0.750 0.750
0.375 0.375 0.375
0.375 0.375 0.875
0.375 0.875 0.375
0.875 0.375 0.375
```

Properties
- DOS at the Fermi energy (states/eV per atom) = 1.709
- E_form (meV/atom) = -158

***

(8)
The following is a PBE calculation of a relaxed TiV3Fe4 crystal, from Alexandria.

POSCAR file:
```
TiV3Fe4
1.0
2.892 0.000 0.000
0.000 2.892 0.000
0.000 0.000 11.623
Ti V Fe
1 3 4
direct
0.000 0.000 0.000
0.000 0.000 0.253
0.000 0.000 0.500
0.000 0.000 0.747
0.500 0.500 0.132
0.500 0.500 0.377
0.500 0.500 0.623
0.500 0.500 0.868
```

Properties
- DOS at the Fermi energy (states/eV per atom) = 1.075
- E_form (meV/atom) = -190

***

(9)
The following is a PBE calculation of a relaxed TiV5Fe6 crystal, from Alexandria.

POSCAR file:
```
TiV5Fe6
1.0
2.045 -6.132 0.000
2.045 6.132 0.000
0.000 0.000 5.783
Ti V Fe
1 5 6
direct
0.000 0.000 0.000
0.000 0.000 0.500
0.332 0.668 0.000
0.333 0.667 0.500
0.667 0.333 0.500
0.668 0.332 0.000
0.169 0.831 0.253
0.169 0.831 0.747
0.500 0.500 0.255
0.500 0.500 0.745
0.831 0.169 0.253
0.831 0.169 0.747
```

Properties
- DOS at the Fermi energy (states/eV per atom) = 1.093
- E_form (meV/atom) = -164

***

(10)
The following is a PBE calculation of a relaxed Ti2V2Fe crystal, from Alexandria.

POSCAR file:
```
Ti2V2Fe
1.0
5.936 0.000 0.000
0.000 5.936 0.000
0.000 0.000 4.210
Ti V Fe
4 4 2
direct
0.163 0.337 0.000
0.337 0.837 0.000
0.663 0.163 0.000
0.837 0.663 0.000
0.150 0.650 0.500
0.350 0.150 0.500
0.650 0.850 0.500
0.850 0.350 0.500
0.000 0.000 0.500
0.500 0.500 0.500
```

Properties
- DOS at the Fermi energy (states/eV per atom) = 1.023
- E_form (meV/atom) = 99

***

(11)
The following is a PBE calculation of a relaxed Ti2VFe crystal, from Alexandria.

POSCAR file:
```
Ti2VFe
1.0
4.310 0.000 0.000
0.000 4.310 0.000
0.000 0.000 3.016
Ti V Fe
2 1 1
direct
0.000 0.500 0.000
0.500 0.000 0.000
0.000 0.000 0.500
0.500 0.500 0.500
```

Properties
- DOS at the Fermi energy (states/eV per atom) = 1.205
- E_form (meV/atom) = -110

***

(12)
The following is a PBE calculation of a relaxed Ti2VFe crystal, from Alexandria.

POSCAR file:
```
Ti2VFe
1.0
2.969 0.000 0.000
0.000 2.969 0.000
0.000 0.000 6.362
Ti V Fe
2 1 1
direct
0.000 0.000 0.231
0.000 0.000 0.769
0.500 0.500 0.500
0.500 0.500 0.000
```

Properties
- DOS at the Fermi energy (states/eV per atom) = 1.485
- E_form (meV/atom) = -145

***

(13)
The following is a PBE calculation of a relaxed TiVFe crystal, from Alexandria.

POSCAR file:
```
TiVFe
1.0
4.142 0.000 0.000
0.000 4.131 0.000
-2.064 0.000 4.600
Ti V Fe
2 2 2
direct
0.095 0.250 0.189
0.905 0.750 0.811
0.411 0.250 0.823
0.589 0.750 0.177
0.249 0.750 0.498
0.751 0.250 0.502
```

Properties
- DOS at the Fermi energy (states/eV per atom) = 0.476
- E_form (meV/atom) = -212

***

(14)
The following is a PBE calculation of a relaxed Ti2VFe crystal, from Alexandria.

POSCAR file:
```
Ti2VFe
1.0
0.000 3.044 3.044
3.044 0.000 3.044
3.044 3.044 0.000
Ti V Fe
2 1 1
direct
0.250 0.250 0.250
0.750 0.750 0.750
0.000 0.000 0.000
0.500 0.500 0.500
```

Properties
- DOS at the Fermi energy (states/eV per atom) = 1.109
- E_form (meV/atom) = -104

***

(15)
The following is a PBE calculation of a relaxed TiV2Fe3 crystal, from Alexandria.

POSCAR file:
```
TiV2Fe3
1.0
2.897 0.000 0.000
0.000 2.897 0.000
0.000 0.000 8.738
Ti V Fe
1 2 3
direct
0.000 0.000 0.000
0.000 0.000 0.336
0.000 0.000 0.664
0.500 0.500 0.175
0.500 0.500 0.500
0.500 0.500 0.825
```

Properties
- DOS at the Fermi energy (states/eV per atom) = 0.983
- E_form (meV/atom) = -213

***

(16)
The following is a PBE calculation of a relaxed TiVFe crystal, from Alexandria.

POSCAR file:
```
TiVFe
1.0
7.570 0.000 0.000
0.000 2.490 4.373
0.000 -2.490 4.373
Ti V Fe
4 4 4
direct
0.000 0.000 0.000
0.000 0.495 0.995
0.000 0.995 0.495
0.500 0.674 0.674
0.206 0.489 0.489
0.322 0.165 0.165
0.678 0.165 0.165
0.794 0.489 0.489
0.255 0.845 0.845
0.500 0.187 0.670
0.500 0.670 0.187
0.745 0.845 0.845
```

Properties
- DOS at the Fermi energy (states/eV per atom) = 1.078
- E_form (meV/atom) = 74

***

(17)
The following is a PBE calculation of a relaxed TiVFe3 crystal, from Alexandria.

POSCAR file:
```
TiVFe3
1.0
4.166 0.000 0.000
0.000 4.166 0.000
0.000 0.000 4.166
Ti V Fe
1 1 3
direct
0.000 0.000 0.000
0.500 0.500 0.500
0.000 0.500 0.500
0.500 0.000 0.500
0.500 0.500 0.000
```

Properties
- DOS at the Fermi energy (states/eV per atom) = 0.812
- E_form (meV/atom) = 800

***

(18)
The following is a PBE calculation of a relaxed Ti3VFe4 crystal, from Alexandria.

POSCAR file:
```
Ti3VFe4
1.0
2.932 0.000 0.000
0.000 2.932 0.000
0.000 0.000 11.737
Ti V Fe
3 1 4
direct
0.000 0.000 0.000
0.000 0.000 0.253
0.000 0.000 0.747
0.000 0.000 0.500
0.500 0.500 0.127
0.500 0.500 0.381
0.500 0.500 0.619
0.500 0.500 0.873
```

Properties
- DOS at the Fermi energy (states/eV per atom) = 0.628
- E_form (meV/atom) = -331

***

(19)
The following is a PBE calculation of a relaxed Ti2VFe crystal, from Alexandria.

POSCAR file:
```
Ti2VFe
1.0
-3.363 3.363 2.610
3.363 -3.363 2.610
3.363 3.363 -2.610
Ti V Fe
4 2 2
direct
0.092 0.625 0.967
0.375 0.342 0.467
0.658 0.125 0.033
0.875 0.908 0.533
0.250 0.750 0.500
0.500 0.500 0.000
0.000 0.000 0.000
0.750 0.250 0.500
```

Properties
- DOS at the Fermi energy (states/eV per atom) = 1.255
- E_form (meV/atom) = 290

***

(20)
The following is a PBE calculation of a relaxed Ti4V2Fe crystal, from Alexandria.

POSCAR file:
```
Ti4V2Fe
1.0
-2.189 2.189 6.306
2.189 -2.189 6.306
2.189 2.189 -6.306
Ti V Fe
4 2 1
direct
0.000 0.500 0.500
0.190 0.190 0.000
0.500 0.000 0.500
0.810 0.810 0.000
0.375 0.375 0.000
0.625 0.625 0.000
0.000 0.000 0.000
```

Properties
- DOS at the Fermi energy (states/eV per atom) = 1.304
- E_form (meV/atom) = 642